Below is a relaxed structure of PmFeO3, with properties calculated at the PBE+U level.

extended XYZ file:
```
10
Lattice="4.0867 0.0000 0.0000 -2.0434 5.1342 -2.7979 0.0000 -0.3638 7.3343" Properties=species:S:1:pos:R:3 pbc="T T T"
O 0.0000 4.7956 2.4833
O 0.0000 1.5806 2.9356
O 2.0434 -0.0252 2.0531
O 2.0434 3.1899 1.6008
O 0.0000 2.4662 -0.2200
O 2.0434 2.3042 4.7563
Fe 0.0000 3.1130 1.6192
Fe 2.0434 1.6574 2.9171
Pm 0.0000 0.7778 5.3337
Pm 2.0434 3.9926 -0.7974
```

- electronic total energy (eV/atom) = -7.342
- theoretical density (g/cm³) = 5.5
- space group = No. 12